--- a ---
CsPrP4O12 | Alexandria via LeMat-Bulk | meta-GGA SCAN | PBEsol geometry; mass density = 3.78 Mg/m³; total moment = 0.00 μB per cell; density of states at the Fermi level = 0.00 states/eV/f.u.
1.0
10.541 0.000 0.000
0.000 9.113 0.000
-7.355 0.000 10.775
Cs Pr P O
4 4 16 48
Cartesian
2.131 0.601 0.439
-1.546 3.955 5.826
4.733 5.158 4.948
1.055 8.512 10.336
-2.679 6.618 8.803
0.999 7.051 3.415
2.188 2.062 7.359
5.865 2.495 1.972
-1.753 0.272 3.045
-5.430 4.285 8.432
1.926 5.485 0.263
-1.751 8.185 5.651
0.747 1.590 3.914
-2.931 2.966 9.301
-1.387 0.861 7.987
2.290 3.696 2.600
0.896 5.417 8.175
4.573 8.252 2.788
6.117 6.147 1.474
2.440 7.523 6.861
4.937 0.928 5.124
1.260 3.628 10.512
8.616 4.828 2.342
4.939 8.842 7.730
-6.176 4.913 9.724
-2.499 8.757 4.337
-4.528 5.293 7.778
-0.851 8.377 2.391
-0.870 5.450 3.198
-4.547 8.220 8.585
-0.852 1.448 3.698
-4.529 3.109 9.086
1.024 6.424 1.003
-2.653 7.246 6.391
-1.604 0.472 6.447
2.073 4.085 1.060
-2.636 1.882 8.134
1.042 2.674 2.747
-4.079 5.975 10.623
-0.402 7.694 5.236
1.454 0.325 3.547
-2.223 4.232 8.935
2.079 4.885 3.483
-1.599 8.785 8.871
0.923 2.224 5.255
-2.754 2.333 10.643
-0.376 6.189 8.037
3.301 7.481 2.650
-0.115 1.632 8.125
3.563 2.924 2.738
5.940 6.781 0.132
2.263 6.889 5.519
4.785 0.328 1.904
1.108 4.228 7.292
5.409 4.881 1.840
1.732 8.788 7.228
3.588 1.419 5.539
7.265 3.138 0.152
2.144 6.439 8.028
5.822 7.231 2.641
1.113 5.028 9.715
4.790 8.641 4.327
5.840 1.867 4.384
2.162 2.689 9.772
7.715 6.004 1.689
4.038 7.666 7.076
7.733 0.893 2.190
4.056 3.663 7.577
4.037 0.737 8.384
7.714 3.820 2.997
5.685 0.356 6.438
9.363 4.201 1.051


--- b ---
CsPrP4O12 | Alexandria via LeMat-Bulk | meta-GGA SCAN | PBEsol geometry; mass density = 3.38 Mg/m³; total moment = 0.00 μB per cell; density of states at the Fermi level = 0.00 states/eV/f.u.
1.0
7.176 0.000 0.000
0.000 9.246 0.000
-1.435 0.000 8.727
Cs Pr P O
2 2 8 24
Cartesian
0.981 0.000 1.535
4.761 4.623 7.192
1.149 1.530 6.091
4.593 6.152 2.635
0.252 4.980 4.744
1.057 5.489 1.981
2.889 3.624 0.611
2.259 7.163 5.462
3.482 2.540 3.264
2.852 8.247 8.116
4.684 0.866 6.745
5.490 0.357 3.982
-1.100 1.277 7.122
-0.389 1.032 4.287
0.229 3.716 5.534
1.454 4.307 0.964
1.061 4.690 3.384
1.145 6.018 5.578
2.146 6.516 2.028
1.647 8.499 5.196
1.259 2.955 8.031
2.363 2.032 4.109
1.733 9.227 7.936
2.966 2.464 1.727
2.776 7.087 6.999
4.008 4.604 0.791
3.378 6.655 4.618
4.482 7.578 0.695
4.094 3.877 3.530
3.595 1.893 6.698
4.596 1.395 3.148
4.680 0.067 5.343
4.288 8.930 7.762
5.512 8.339 3.193
6.131 5.655 4.440
6.842 5.900 1.605


Short version: b is the least stable of them.


--- a ---
CsZnPO4 | Alexandria via LeMat-Bulk | meta-GGA SCAN | PBEsol geometry; mass density = 4.10 Mg/m³; total moment = 0.00 μB per cell; density of states at the Fermi level = 0.00 states/eV/f.u.
1.0
8.928 0.000 0.000
0.000 5.528 0.000
0.000 0.000 9.615
Cs Zn P O
4 4 4 16
Cartesian
0.151 1.382 1.892
4.313 4.146 6.699
4.616 1.382 2.916
8.777 4.146 7.724
1.479 4.146 3.876
2.985 1.382 8.683
5.944 4.146 0.932
7.449 1.382 5.740
1.940 1.382 5.457
2.524 4.146 0.649
6.404 1.382 8.966
6.988 4.146 4.158
0.435 1.382 5.728
1.710 4.146 1.954
2.090 2.898 9.445
2.090 5.394 9.445
2.374 0.134 4.637
2.374 2.630 4.637
2.754 1.382 6.762
4.030 4.146 0.920
4.899 1.382 8.696
6.174 4.146 2.853
6.554 2.898 4.978
6.554 5.394 4.978
6.839 0.134 0.171
6.839 2.630 0.171
7.219 1.382 7.661
8.494 4.146 3.888


--- b ---
CsZnPO4 | Alexandria via LeMat-Bulk | meta-GGA SCAN | PBEsol geometry; mass density = 4.24 Mg/m³; total moment = 0.00 μB per cell; density of states at the Fermi level = 0.00 states/eV/f.u.
1.0
9.185 0.000 0.000
0.000 5.444 0.000
-0.113 0.000 18.388
Cs Zn P O
8 8 8 32
Cartesian
1.710 1.167 4.614
1.654 1.555 13.809
2.620 1.327 9.126
2.563 1.396 18.320
6.509 4.049 0.068
6.452 4.118 9.263
7.418 3.889 4.580
7.361 4.278 13.774
0.708 4.077 10.812
0.765 4.090 1.618
3.732 3.861 6.123
3.675 4.306 15.317
5.397 1.139 3.072
5.340 1.584 12.266
8.307 1.354 16.771
8.363 1.368 7.576
0.642 4.074 16.613
0.698 4.093 7.419
3.718 3.870 2.847
3.661 4.296 12.041
5.411 1.148 6.347
5.354 1.574 15.542
8.373 1.352 10.969
8.430 1.370 1.775
0.048 0.247 11.655
0.104 2.475 2.461
0.309 2.736 6.766
0.252 5.430 15.960
0.398 4.073 8.919
0.341 4.093 18.113
2.140 3.780 16.380
2.197 4.386 7.186
2.606 3.773 11.033
2.662 4.394 1.839
3.144 4.000 4.279
3.087 4.167 13.473
3.963 0.338 11.708
4.020 2.384 2.514
4.061 0.731 15.710
4.117 1.991 6.516
4.954 3.453 11.872
5.011 4.713 2.678
5.052 3.060 15.875
5.109 5.106 6.681
5.984 1.278 4.915
5.928 1.444 14.110
6.409 1.051 16.550
6.466 1.672 7.355
6.875 1.058 11.203
6.932 1.664 2.008
8.731 1.351 0.275
8.674 1.371 9.470
8.820 0.014 2.428
8.763 2.708 11.623
8.967 2.969 15.928
9.024 5.198 6.733


Short version: a is the least stable of them.


--- a ---
Cs2SO4 | Alexandria via LeMat-Bulk | meta-GGA SCAN | PBEsol geometry; mass density = 3.74 Mg/m³; total moment = 0.69 μB per cell; density of states at the Fermi level = 0.00 states/eV/f.u.
1.0
13.260 0.000 0.000
0.000 6.116 0.000
0.000 0.000 7.927
Cs S O
8 4 16
Cartesian
0.488 1.529 1.285
2.302 4.587 3.760
4.328 1.529 7.724
6.142 4.587 5.249
7.118 1.529 2.678
8.932 4.587 0.203
10.958 1.529 4.166
12.772 4.587 6.642
1.216 1.529 5.677
5.414 4.587 1.713
7.846 1.529 6.213
12.044 4.587 2.250
0.189 4.587 1.718
1.178 1.529 4.189
1.913 0.309 6.178
1.913 2.749 6.178
4.717 3.367 2.214
4.717 5.806 2.214
5.452 4.587 0.225
6.441 1.529 5.681
6.819 4.587 2.246
7.808 1.529 7.702
8.543 0.309 5.713
8.543 2.749 5.713
11.347 3.367 1.749
11.347 5.806 1.749
12.082 4.587 3.738
13.071 1.529 6.209


--- b ---
Cs2SO4 | Alexandria via LeMat-Bulk | meta-GGA SCAN | PBEsol geometry; mass density = 4.36 Mg/m³; total moment = 0.57 μB per cell; density of states at the Fermi level = 0.00 states/eV/f.u.
1.0
8.198 0.000 0.000
0.000 6.198 0.000
0.000 0.000 10.856
Cs S O
8 4 16
Cartesian
0.092 1.549 2.154
1.416 4.648 4.442
2.683 1.549 9.870
4.007 4.648 7.582
4.191 1.549 3.274
5.515 4.648 0.986
6.782 1.549 6.414
8.106 4.648 8.702
1.970 4.648 0.895
2.129 1.549 6.323
6.069 4.648 4.532
6.228 1.549 9.960
0.482 4.648 0.944
1.609 0.330 7.012
1.609 2.769 7.012
1.653 1.549 4.906
2.446 4.648 10.334
2.490 3.429 1.584
2.490 5.868 1.584
3.617 1.549 6.371
4.581 4.648 4.484
5.708 0.330 9.272
5.708 2.769 9.272
5.752 1.549 0.522
6.545 4.648 5.950
6.589 3.429 3.844
6.589 5.868 3.844
7.716 1.549 9.912


Short version: a is the least stable of them.


--- a ---
Cs3TmO3 | Alexandria via LeMat-Bulk | meta-GGA SCAN | PBEsol geometry; mass density = 5.73 Mg/m³; total moment = 0.00 μB per cell; density of states at the Fermi level = 0.00 states/eV/f.u.
1.0
8.017 0.000 0.000
0.000 7.458 0.000
-1.072 0.000 11.942
Cs Tm O
12 4 12
Cartesian
0.301 0.921 1.870
-0.235 2.808 7.841
1.827 1.177 11.027
2.363 2.552 5.056
2.183 5.069 9.673
2.719 6.118 3.702
4.227 1.340 8.240
4.762 2.389 2.269
4.583 4.906 6.886
5.119 6.281 0.915
7.180 4.650 4.101
6.644 6.537 10.072
1.161 4.393 0.836
0.625 6.794 6.807
6.321 0.664 5.135
5.785 3.065 11.106
0.433 0.397 4.957
-0.103 3.332 10.928
1.370 4.866 6.565
1.905 6.321 0.593
1.595 0.356 8.320
2.131 3.373 2.349
4.815 4.085 9.593
5.350 7.102 3.622
5.040 1.137 11.349
5.576 2.592 5.378
7.049 4.126 1.014
6.513 7.061 6.985


--- b ---
Cs3TmO3 | Alexandria via LeMat-Bulk | meta-GGA SCAN | PBEsol geometry; mass density = 5.68 Mg/m³; total moment = 0.21 μB per cell; density of states at the Fermi level = 0.00 states/eV/f.u.
1.0
3.891 -6.277 0.000
3.891 6.277 0.000
-1.472 0.000 7.368
Cs Tm O
6 2 6
Cartesian
3.891 3.627 0.000
3.155 2.979 3.684
2.560 0.000 1.087
3.750 0.000 6.281
3.155 -2.979 3.684
3.891 -3.627 0.000
0.365 0.000 4.806
5.945 0.000 2.563
0.288 0.000 2.671
1.178 1.709 5.660
1.178 -1.709 5.660
5.132 1.709 1.708
5.132 -1.709 1.708
6.021 0.000 4.698


Short version: b is the least stable of them.


--- a ---
Cs5YO4 | Alexandria via LeMat-Bulk | meta-GGA SCAN | PBEsol geometry; mass density = 4.98 Mg/m³; total moment = 0.01 μB per cell; density of states at the Fermi level = 0.00 states/eV/f.u.
1.0
11.601 0.000 0.000
0.000 12.970 0.000
-1.368 0.000 7.250
Cs Y O
20 4 16
Cartesian
11.271 0.992 1.751
10.587 5.493 5.376
-0.353 7.476 1.874
-1.037 11.978 5.499
0.649 2.312 6.036
1.333 4.172 2.410
2.509 9.031 0.058
1.826 10.424 3.684
3.549 0.863 4.145
4.233 5.622 0.520
5.158 8.625 2.925
4.475 10.830 6.550
5.759 2.140 0.700
5.075 4.345 4.325
6.001 7.348 6.730
6.685 12.107 3.105
8.408 2.546 3.567
7.724 3.939 7.192
8.900 8.797 4.840
9.584 10.657 1.215
2.178 6.988 4.446
2.862 12.467 0.820
7.372 0.503 6.430
8.056 5.982 2.805
0.241 7.901 4.655
0.925 11.554 1.030
2.712 1.578 1.388
2.028 4.907 5.013
2.631 7.058 2.368
1.947 12.397 5.993
3.569 8.157 5.576
4.253 11.298 1.951
5.981 1.672 5.299
6.665 4.813 1.674
8.287 0.573 1.257
7.603 5.912 4.882
8.206 8.063 2.237
7.522 11.391 5.863
9.308 1.416 6.220
9.992 5.069 2.595


--- b ---
Cs5YO4 | Alexandria via LeMat-Bulk | meta-GGA SCAN | PBEsol geometry; mass density = 4.87 Mg/m³; total moment = 0.00 μB per cell; density of states at the Fermi level = 0.00 states/eV/f.u.
1.0
8.418 0.000 0.000
0.000 9.647 0.000
0.000 0.000 6.866
Cs Y O
10 2 8
Cartesian
0.112 0.599 1.662
0.112 4.224 1.662
2.104 7.235 2.330
4.096 0.599 1.662
4.096 4.224 1.662
4.321 5.423 5.204
4.321 9.047 5.204
6.313 2.412 4.535
8.305 5.423 5.204
8.305 9.047 5.204
2.104 2.412 4.919
6.313 7.235 1.947
0.269 2.412 6.043
2.104 0.587 3.755
2.104 4.236 3.755
3.940 2.412 6.043
4.477 7.235 0.823
6.313 5.411 3.111
6.313 9.059 3.111
8.149 7.235 0.823


Short version: b is the least stable of them.